*A*
A relaxed LaCuP2Pd crystal, computed with GGA-PBE.

Output
SG ... No. 119
M_tot ... 0.00 μB per atom

Cell: 4.127 4.127 5.861 Å, 110.61 110.61 90.00°
Fractional coordinates of all 5 atoms:
1 La 0.000 0.000 0.000
2 Cu 0.750 0.250 0.500
3 P 0.616 0.616 0.231
4 P 0.384 0.384 0.769
5 Pd 0.250 0.750 0.500

---

*B*
A relaxed LaCuP2Pd crystal, computed with GGA-PBE.

Output
SG ... No. 123
M_tot ... 0.00 μB per atom

Cell: 4.447 5.307 4.447 Å, 90.00 90.00 90.00°
Fractional coordinates of all 5 atoms:
1 P 0.000 0.000 0.500
2 P 0.500 0.000 0.000
3 Cu 0.000 0.000 0.000
4 Pd 0.500 0.500 0.500
5 La 0.000 0.500 0.000

---

Structures ranked by computed energy, the most stable listed first: *A*, *B*.

---

*A*
A relaxed LaCuPS2 crystal, computed with GGA-PBE.

Output
SG ... No. 123
M_tot ... 0.00 μB per atom

Cell: 4.678 4.678 4.490 Å, 90.00 90.00 90.00°
Fractional coordinates of all 5 atoms:
1 P 0.000 0.000 0.500
2 S 0.000 0.500 0.000
3 S 0.500 0.000 0.000
4 Cu 0.000 0.000 0.000
5 La 0.500 0.500 0.500

---

*B*
A relaxed LaCuPS2 crystal, computed with GGA-PBE.

Output
SG ... No. 123
M_tot ... 0.57 μB per atom

Cell: 5.492 5.492 5.803 Å, 90.00 90.00 90.00°
Site moments in Bohr magnetons follow the coordinates.
Fractional coordinates of all 5 atoms:
1 P 0.000 0.000 0.500  0.77
2 S 0.000 0.500 0.000  0.32
3 S 0.500 0.000 0.000  0.32
4 Cu 0.500 0.500 0.500  0.03
5 La 0.000 0.000 0.000  0.07

---

Structures ranked by computed energy, the most stable listed first: *A*, *B*.

---

*A*
A relaxed LaCuPb2 crystal, computed with GGA-PBE.

Output
SG ... No. 65
M_tot ... 0.00 μB per atom

Cell: 4.485 5.073 5.078 Å, 75.51 90.00 90.00°
Fractional coordinates of all 4 atoms:
1 Cu 0.500 0.250 0.250
2 La 0.500 0.750 0.750
3 Pb 0.000 0.055 0.055
4 Pb 0.000 0.445 0.445

---

*B*
A relaxed LaCuPb2 crystal, computed with GGA-PBE.

Output
SG ... No. 122
M_tot ... 0.00 μB per atom

Cell: 4.994 4.994 10.429 Å, 76.15 76.15 90.00°
Fractional coordinates of all 8 atoms:
1 Pb 0.551 0.125 0.250
2 Pb 0.199 0.625 0.250
3 Pb 0.375 0.449 0.750
4 Pb 0.875 0.801 0.750
5 Cu 0.500 0.500 0.000
6 Cu 0.250 0.750 0.500
7 La 0.000 0.000 0.000
8 La 0.750 0.250 0.500

---

Structures ranked by computed energy, the most stable listed first: *A*, *B*.

---

*A*
A relaxed LaCuPb2 crystal, computed with GGA-PBE.

Output
SG ... No. 25
M_tot ... 0.06 μB per atom

Cell: 3.592 3.792 8.019 Å, 90.00 90.00 90.00°
Site moments in Bohr magnetons follow the coordinates.
Fractional coordinates of all 4 atoms:
1 Cu 0.000 0.000 0.490  0.01
2 La 0.500 0.500 0.708  0.09
3 Pb 0.000 0.000 0.015  0.01
4 Pb 0.500 0.500 0.286  0.00

---

*B*
A relaxed LaCuPb2 crystal, computed with GGA-PBE.

Output
SG ... No. 47
M_tot ... 0.00 μB per atom

Cell: 3.589 3.768 7.730 Å, 90.00 90.00 90.00°
Fractional coordinates of all 4 atoms:
1 Cu 0.500 0.500 0.250
2 La 0.500 0.500 0.750
3 Pb 0.000 0.000 0.049
4 Pb 0.000 0.000 0.451

---

Structures ranked by computed energy, the most stable listed first: *A*, *B*.

---

*A*
A relaxed LaCu3Pb crystal, computed with GGA-PBE.

Output
SG ... No. 221
M_tot ... 0.00 μB per atom

Cell: 4.944 4.944 4.944 Å, 90.00 90.00 90.00°
Fractional coordinates of all 5 atoms:
1 Pb 0.000 0.000 0.000
2 Cu 0.000 0.500 0.000
3 Cu 0.000 0.000 0.500
4 Cu 0.500 0.000 0.000
5 La 0.500 0.500 0.500

---

*B*
A relaxed LaCu3Pb crystal, computed with GGA-PBE.

Output
SG ... No. 221
M_tot ... 0.00 μB per atom

Cell: 5.234 5.234 5.234 Å, 90.00 90.00 90.00°
Fractional coordinates of all 5 atoms:
1 Pb 0.500 0.500 0.500
2 Cu 0.000 0.500 0.000
3 Cu 0.000 0.000 0.500
4 Cu 0.500 0.000 0.000
5 La 0.000 0.000 0.000

---

Structures ranked by computed energy, the most stable listed first: *A*, *B*.

---

*A*
A relaxed LaCuPb3 crystal, computed with GGA-PBE.

Output
SG ... No. 221
M_tot ... 0.00 μB per atom

Cell: 5.296 5.296 5.296 Å, 90.00 90.00 90.00°
Fractional coordinates of all 5 atoms:
1 Pb 0.000 0.500 0.000
2 Pb 0.000 0.000 0.500
3 Pb 0.500 0.000 0.000
4 Cu 0.000 0.000 0.000
5 La 0.500 0.500 0.500

---

*B*
A relaxed LaCuPb3 crystal, computed with GGA-PBE.

Output
SG ... No. 221
M_tot ... 0.00 μB per atom

Cell: 6.169 6.169 6.169 Å, 90.00 90.00 90.00°
Fractional coordinates of all 5 atoms:
1 Pb 0.000 0.500 0.000
2 Pb 0.000 0.000 0.500
3 Pb 0.500 0.000 0.000
4 Cu 0.500 0.500 0.500
5 La 0.000 0.000 0.000

---

Structures ranked by computed energy, the most stable listed first: *A*, *B*.

---

*A*
A relaxed La4CuPd crystal, computed with GGA-PBE.

Output
SG ... No. 109
M_tot ... 0.00 μB per atom

Cell: 8.202 8.202 8.202 Å, 106.74 106.74 115.08°
Fractional coordinates of all 12 atoms:
1 La 0.249 0.945 0.697
2 La 0.751 0.452 0.701
3 La 0.695 0.499 0.197
4 La 0.202 0.001 0.201
5 La 0.302 0.499 0.803
6 La 0.800 0.001 0.799
7 La 0.751 0.050 0.299
8 La 0.249 0.552 0.303
9 Cu 0.753 0.753 0.000
10 Cu 0.503 0.003 0.500
11 Pd 0.248 0.248 0.000
12 Pd 0.998 0.498 0.500

---

*B*
A relaxed La4CuPd crystal, computed with GGA-PBE.

Output
SG ... No. 124
M_tot ... 0.00 μB per atom

Cell: 6.534 7.299 7.299 Å, 90.00 90.00 90.00°
Fractional coordinates of all 12 atoms:
1 La 0.000 0.174 0.675
2 La 0.000 0.826 0.325
3 La 0.000 0.325 0.174
4 La 0.000 0.675 0.826
5 La 0.500 0.826 0.675
6 La 0.500 0.174 0.325
7 La 0.500 0.675 0.174
8 La 0.500 0.325 0.826
9 Cu 0.250 0.500 0.500
10 Cu 0.750 0.500 0.500
11 Pd 0.250 0.000 0.000
12 Pd 0.750 0.000 0.000

---

Structures ranked by computed energy, the most stable listed first: *B*, *A*.

---

*A*
A relaxed LaCuPd3 crystal, computed with GGA-PBE.

Output
SG ... No. 221
M_tot ... 0.00 μB per atom

Cell: 4.692 4.692 4.692 Å, 90.00 90.00 90.00°
Fractional coordinates of all 5 atoms:
1 Cu 0.000 0.000 0.000
2 Pd 0.000 0.500 0.000
3 Pd 0.000 0.000 0.500
4 Pd 0.500 0.000 0.000
5 La 0.500 0.500 0.500

---

*B*
A relaxed LaCuPd3 crystal, computed with GGA-PBE.

Output
SG ... No. 119
M_tot ... 0.00 μB per atom

Cell: 5.205 5.205 9.214 Å, 106.41 106.41 90.00°
Fractional coordinates of all 10 atoms:
1 La 0.623 0.123 0.247
2 La 0.877 0.377 0.753
3 Cu 0.000 0.000 0.000
4 Cu 0.250 0.750 0.500
5 Pd 0.621 0.877 0.753
6 Pd 0.123 0.868 0.247
7 Pd 0.123 0.379 0.247
8 Pd 0.132 0.877 0.753
9 Pd 0.273 0.273 0.546
10 Pd 0.727 0.727 0.454

---

Structures ranked by computed energy, the most stable listed first: *A*, *B*.

---

*A*
A relaxed LaCuPd3 crystal, computed with GGA-PBE.

Output
SG ... No. 221
M_tot ... 0.00 μB per atom

Cell: 5.133 5.133 5.133 Å, 90.00 90.00 90.00°
Fractional coordinates of all 5 atoms:
1 Cu 0.500 0.500 0.500
2 Pd 0.000 0.500 0.000
3 Pd 0.000 0.000 0.500
4 Pd 0.500 0.000 0.000
5 La 0.000 0.000 0.000

---

*B*
A relaxed LaCuPd3 crystal, computed with GGA-PBE.

Output
SG ... No. 74
M_tot ... 0.00 μB per atom

Cell: 5.448 8.808 6.540 Å, 132.33 114.61 90.00°
Fractional coordinates of all 10 atoms:
1 La 0.250 0.257 0.500
2 La 0.750 0.743 0.500
3 Cu 0.000 0.500 0.000
4 Cu 0.500 0.000 0.000
5 Pd 0.797 0.297 0.093
6 Pd 0.297 0.297 0.093
7 Pd 0.703 0.703 0.907
8 Pd 0.203 0.703 0.907
9 Pd 0.250 0.928 0.500
10 Pd 0.750 0.072 0.500

---

Structures ranked by computed energy, the most stable listed first: *B*, *A*.

---

*A*
A relaxed LaCu2Pd crystal, computed with GGA-PBE.

Output
SG ... No. 122
M_tot ... 0.00 μB per atom

Cell: 4.352 4.352 9.599 Å, 76.90 76.90 90.00°
Fractional coordinates of all 8 atoms:
1 Cu 0.461 0.125 0.250
2 Cu 0.289 0.625 0.250
3 Cu 0.375 0.539 0.750
4 Cu 0.875 0.711 0.750
5 Pd 0.500 0.500 0.000
6 Pd 0.250 0.750 0.500
7 La 0.000 0.000 0.000
8 La 0.750 0.250 0.500

---

*B*
A relaxed LaCu2Pd crystal, computed with GGA-PBE.

Output
SG ... No. 63
M_tot ... 0.00 μB per atom

Cell: 4.442 5.479 6.780 Å, 90.00 90.00 113.91°
Fractional coordinates of all 8 atoms:
1 La 0.910 0.821 0.250
2 La 0.090 0.179 0.750
3 Cu 0.380 0.759 0.935
4 Cu 0.620 0.241 0.065
5 Cu 0.620 0.241 0.435
6 Cu 0.380 0.759 0.565
7 Pd 0.204 0.408 0.250
8 Pd 0.796 0.592 0.750

---

Structures ranked by computed energy, the most stable listed first: *B*, *A*.

---

*A*
A relaxed LaCuPd4 crystal, computed with GGA-PBE.

Output
SG ... No. 51
M_tot ... 0.00 μB per atom

Cell: 4.126 6.952 7.532 Å, 90.00 90.00 90.00°
Fractional coordinates of all 12 atoms:
1 La 0.000 0.649 0.750
2 La 0.000 0.351 0.250
3 Cu 0.000 0.233 0.750
4 Cu 0.000 0.767 0.250
5 Pd 0.000 0.000 0.500
6 Pd 0.000 0.000 0.000
7 Pd 0.500 0.963 0.750
8 Pd 0.500 0.037 0.250
9 Pd 0.500 0.693 0.052
10 Pd 0.500 0.307 0.948
11 Pd 0.500 0.693 0.448
12 Pd 0.500 0.307 0.552

---

*B*
A relaxed LaCuPd4 crystal, computed with GGA-PBE.

Output
SG ... No. 216
M_tot ... 0.00 μB per atom

Cell: 5.386 5.386 5.386 Å, 60.00 60.00 60.00°
Fractional coordinates of all 6 atoms:
1 Cu 0.000 0.000 0.000
2 Pd 0.626 0.626 0.123
3 Pd 0.626 0.123 0.626
4 Pd 0.626 0.626 0.626
5 Pd 0.123 0.626 0.626
6 La 0.250 0.250 0.250

---

Structures ranked by computed energy, the most stable listed first: *A*, *B*.

---

*A*
A relaxed LaCu2Pd2 crystal, computed with GGA-PBE.

Output
SG ... No. 127
M_tot ... 0.00 μB per atom

Cell: 7.355 7.355 3.203 Å, 90.00 90.00 90.00°
Fractional coordinates of all 10 atoms:
1 Cu 0.380 0.880 0.000
2 Cu 0.880 0.620 0.000
3 Cu 0.620 0.120 0.000
4 Cu 0.120 0.380 0.000
5 Pd 0.171 0.671 0.500
6 Pd 0.671 0.829 0.500
7 Pd 0.829 0.329 0.500
8 Pd 0.329 0.171 0.500
9 La 0.000 0.000 0.000
10 La 0.500 0.500 0.000

---

*B*
A relaxed LaCu2Pd2 crystal, computed with GGA-PBE.

Output
SG ... No. 127
M_tot ... 0.00 μB per atom

Cell: 7.489 7.489 3.099 Å, 90.00 90.00 90.00°
Fractional coordinates of all 10 atoms:
1 Cu 0.149 0.649 0.500
2 Cu 0.649 0.851 0.500
3 Cu 0.851 0.351 0.500
4 Cu 0.351 0.149 0.500
5 Pd 0.358 0.858 0.000
6 Pd 0.858 0.642 0.000
7 Pd 0.642 0.142 0.000
8 Pd 0.142 0.358 0.000
9 La 0.000 0.000 0.000
10 La 0.500 0.500 0.000

---

Structures ranked by computed energy, the most stable listed first: *A*, *B*.

---

*A*
A relaxed LaPmCuPd crystal, computed with GGA-PBE.

Output
SG ... No. 38
M_tot ... 0.00 μB per atom

Cell: 3.924 4.617 5.819 Å, 90.00 109.70 90.00°
Fractional coordinates of all 4 atoms:
1 La 0.861 0.500 0.723
2 Pm 0.137 0.000 0.274
3 Cu 0.577 0.500 0.153
4 Pd 0.425 0.000 0.851

---

*B*
A relaxed LaPmCuPd crystal, computed with GGA-PBE.

Output
SG ... No. 216
M_tot ... 0.00 μB per atom

Cell: 5.141 5.141 5.141 Å, 60.00 60.00 60.00°
Fractional coordinates of all 4 atoms:
1 La 0.500 0.500 0.500
2 Cu 0.250 0.250 0.250
3 Pd 0.750 0.750 0.750
4 Pm 0.000 0.000 0.000

---

Structures ranked by computed energy, the most stable listed first: *A*, *B*.